# 1
# meta-GGA SCAN TaBe2Os2, single point on PBEsol structure
data_TaBe2Os2
_chemical_formula_sum 'Ta2 Be4 Os4'
_symmetry_space_group_name_H-M 'P 4/m b m'
_symmetry_Int_Tables_number 127
_symmetry_space_group_name_Hall '-P 4 2ab'
_cell_length_a 6.405
_cell_length_b 6.405
_cell_length_c 2.923
_cell_angle_alpha 90.00
_cell_angle_beta 90.00
_cell_angle_gamma 90.00
loop_
_atom_site_label
_atom_site_fract_x
_atom_site_fract_y
_atom_site_fract_z
Ta1 0.000 0.000 0.000
Be1 0.120 0.380 0.000
Os1 0.170 0.670 0.500
# formation energy = -431 meV/atom
# DOS(E_F) = 2.820 states/eV/cell
# ρ = 16.044 Mg/m³

***

# 2
# meta-GGA SCAN Ta2Be2Os, single point on PBEsol structure
data_Ta2Be2Os
_chemical_formula_sum 'Ta4 Be4 Os2'
_symmetry_space_group_name_H-M 'P 4/m b m'
_symmetry_Int_Tables_number 127
_symmetry_space_group_name_Hall '-P 4 2ab'
_cell_length_a 6.226
_cell_length_b 6.226
_cell_length_c 3.262
_cell_angle_alpha 90.00
_cell_angle_beta 90.00
_cell_angle_gamma 90.00
loop_
_atom_site_label
_atom_site_fract_x
_atom_site_fract_y
_atom_site_fract_z
Ta1 0.174 0.326 0.000
Be1 0.122 0.622 0.500
Os1 0.000 0.000 0.500
# formation energy = -494 meV/atom
# DOS(E_F) = 0.785 states/eV/cell
# ρ = 14.974 Mg/m³

***

# 3
# meta-GGA SCAN BeTc3Os, single point on PBEsol structure
data_BeTc3Os
_chemical_formula_sum 'Be1 Tc3 Os1'
_symmetry_space_group_name_H-M 'P m -3 m'
_symmetry_Int_Tables_number 221
_symmetry_space_group_name_Hall '-P 4 2 3'
_cell_length_a 4.031
_cell_length_b 4.031
_cell_length_c 4.031
_cell_angle_alpha 90.00
_cell_angle_beta 90.00
_cell_angle_gamma 90.00
loop_
_atom_site_label
_atom_site_fract_x
_atom_site_fract_y
_atom_site_fract_z
Be1 0.000 0.000 0.000
Tc1 0.000 0.000 0.500
Os1 0.500 0.500 0.500
# formation energy = 585 meV/atom
# DOS(E_F) = 4.046 states/eV/cell
# ρ = 12.504 Mg/m³

***

# 4
# meta-GGA SCAN Be2TcOs, single point on PBEsol structure
data_Be2TcOs
_chemical_formula_sum 'Be2 Tc1 Os1'
_symmetry_space_group_name_H-M 'P 4 m m'
_symmetry_Int_Tables_number 99
_cell_length_a 2.756
_cell_length_b 2.756
_cell_length_c 5.816
_cell_angle_alpha 90.00
_cell_angle_beta 90.00
_cell_angle_gamma 90.00
loop_
_symmetry_equiv_pos_as_xyz
'x,y,z'
'-y,x,z'
'-x,-y,z'
'y,-x,z'
'-x,y,z'
'y,x,z'
'x,-y,z'
'-y,-x,z'
loop_
_atom_site_label
_atom_site_fract_x
_atom_site_fract_y
_atom_site_fract_z
Be1 0.000 0.000 0.000
Be2 0.500 0.500 0.185
Tc1 0.500 0.500 0.731
Os1 0.000 0.000 0.435
# formation energy = -241 meV/atom
# DOS(E_F) = 1.840 states/eV/cell
# ρ = 11.515 Mg/m³

***

# 5
# meta-GGA SCAN BeZnTc2Os, single point on PBEsol structure
data_BeZnTc2Os
_chemical_formula_sum 'Be1 Zn1 Tc2 Os1'
_symmetry_space_group_name_H-M 'P 4/m m m'
_symmetry_Int_Tables_number 123
_symmetry_space_group_name_Hall '-P 4 2'
_cell_length_a 4.614
_cell_length_b 4.614
_cell_length_c 4.648
_cell_angle_alpha 90.00
_cell_angle_beta 90.00
_cell_angle_gamma 90.00
loop_
_atom_site_label
_atom_site_fract_x
_atom_site_fract_y
_atom_site_fract_z
Be1 0.000 0.000 0.000
Zn1 0.500 0.500 0.000
Tc1 0.000 0.500 0.500
Os1 0.500 0.500 0.500
# formation energy = 1715 meV/atom
# DOS(E_F) = 3.808 states/eV/cell
# ρ = 7.732 Mg/m³

***

# 6
# meta-GGA SCAN BeTe2Os, single point on PBEsol structure
data_BeTe2Os
_chemical_formula_sum 'Be1 Te2 Os1'
_symmetry_space_group_name_H-M 'P 4/m m m'
_symmetry_Int_Tables_number 123
_symmetry_space_group_name_Hall '-P 4 2'
_cell_length_a 4.746
_cell_length_b 4.746
_cell_length_c 3.178
_cell_angle_alpha 90.00
_cell_angle_beta 90.00
_cell_angle_gamma 90.00
loop_
_atom_site_label
_atom_site_fract_x
_atom_site_fract_y
_atom_site_fract_z
Be1 0.000 0.000 0.000
Te1 0.000 0.500 0.500
Os1 0.500 0.500 0.000
# DOS(E_F) = 1.828 states/eV/cell
# ρ = 10.545 Mg/m³
# formation energy from raw total energies = 0.87 eV per atom